(1)
Computed, not measured: crystalline Y2ZrCd at its relaxed geometry at the GGA-PBE level of DFT.

```
Y2ZrCd
1.0
5.137 0.000 0.000
0.000 3.396 0.032
0.000 1.631 6.240
Cd Y Zr
1 2 1
Cartesian
2.569 3.136 4.762
0.000 4.820 5.963
2.569 1.463 1.881
0.000 3.148 3.072
```

(2)
Computed, not measured: crystalline YZr2Cd at its relaxed geometry at the GGA-PBE level of DFT.

```
YZr2Cd
1.0
5.306 0.000 0.000
0.000 5.306 0.000
0.000 0.000 3.407
Cd Y Zr
1 1 2
Cartesian
2.653 0.000 1.703
0.000 2.653 1.703
0.000 0.000 0.000
2.653 2.653 0.000
```

(3)
Computed, not measured: crystalline Y2ZrCd at its relaxed geometry at the GGA-PBE level of DFT.

```
Y2ZrCd
1.0
10.938 -0.004 -0.002
10.400 3.390 -0.002
10.400 1.650 2.961
Cd Y Zr
1 2 1
Cartesian
23.917 3.796 2.228
0.227 0.036 0.021
7.725 1.226 0.720
15.737 2.498 1.466
```

(4)
Computed, not measured: crystalline YZrCd2 at its relaxed geometry at the GGA-PBE level of DFT.

```
YZrCd2
1.0
3.383 0.000 0.000
0.000 4.420 0.000
0.000 0.000 6.520
Cd Y Zr
2 1 1
Cartesian
0.000 0.000 6.455
1.691 2.210 1.610
0.000 0.000 3.214
1.691 2.210 5.020
```

(5)
Computed, not measured: crystalline YZr2Cd at its relaxed geometry at the GGA-PBE level of DFT.

```
YZr2Cd
1.0
3.276 0.000 0.000
0.000 3.276 0.000
0.000 0.000 9.069
Cd Y Zr
1 1 2
Cartesian
1.638 1.638 2.267
1.638 1.638 6.802
0.000 0.000 0.143
0.000 0.000 4.392
```

(6)
Computed, not measured: crystalline Y2ZrCd at its relaxed geometry at the GGA-PBE level of DFT.

```
Y2ZrCd
1.0
3.426 0.000 0.000
0.000 3.426 0.000
0.000 0.000 9.175
Cd Y Zr
1 2 1
Cartesian
1.713 1.713 6.736
0.000 0.000 8.940
1.713 1.713 2.515
0.000 0.000 4.748
```

(7)
Computed, not measured: crystalline YZrCd2 at its relaxed geometry at the GGA-PBE level of DFT.

```
YZrCd2
1.0
0.000 3.635 3.635
3.635 0.000 3.635
3.635 3.635 0.000
Y Zr Cd
1 1 2
Cartesian
0.000 0.000 0.000
3.635 3.635 3.635
1.818 1.818 1.818
5.453 5.453 5.453
```

(8)
Computed, not measured: crystalline YZrCd4 at its relaxed geometry at the GGA-PBE level of DFT.

```
YZrCd4
1.0
-2.578 -3.629 2.027
3.804 1.931 2.393
-4.082 4.499 2.861
Y Zr Cd
1 1 4
Cartesian
-0.144 3.190 2.628
-2.185 5.440 4.058
0.494 0.216 4.015
-3.359 2.536 3.269
-1.682 2.614 5.540
-1.183 0.139 1.744
```

(9)
Computed, not measured: crystalline Y2ZrCd at its relaxed geometry at the GGA-PBE level of DFT.

```
Y2ZrCd
1.0
4.506 0.000 0.000
0.000 4.506 0.000
2.253 2.253 10.924
Y Zr Cd
4 2 2
Cartesian
3.399 1.127 2.731
1.107 3.380 2.731
3.380 3.360 8.193
5.633 5.652 8.193
2.253 2.253 0.000
2.253 4.506 5.462
0.000 0.000 0.000
4.506 2.253 5.462
```

(10)
Computed, not measured: crystalline YZrCd2 at its relaxed geometry at the GGA-PBE level of DFT.

```
YZrCd2
1.0
5.131 0.000 0.000
0.000 5.131 0.000
0.000 0.000 3.638
Cd Y Zr
2 1 1
Cartesian
0.000 0.000 0.000
2.566 2.566 0.000
2.566 0.000 1.819
0.000 2.566 1.819
```

(11)
Computed, not measured: crystalline Y2ZrCd at its relaxed geometry at the GGA-PBE level of DFT.

```
Y2ZrCd
1.0
-4.695 -3.033 0.050
3.150 -3.275 -3.255
1.127 -1.699 2.799
Cd Y Zr
1 2 1
Cartesian
2.139 -2.487 -0.228
0.000 0.000 0.000
-0.772 -3.154 -1.603
-1.784 -2.366 1.425
```

(12)
Computed, not measured: crystalline YZr2Cd at its relaxed geometry at the GGA-PBE level of DFT.

```
YZr2Cd
1.0
-2.728 1.487 1.226
-2.230 -0.165 -4.759
-2.174 -4.970 1.191
Cd Y Zr
1 1 2
Cartesian
-2.451 -1.742 1.209
-2.202 -2.568 -1.784
0.000 0.000 0.000
-2.479 0.661 -1.766
```

(13)
Computed, not measured: crystalline YZr2Cd at its relaxed geometry at the GGA-PBE level of DFT.

```
YZr2Cd
1.0
6.389 -0.008 0.003
5.479 3.286 0.003
2.087 0.576 4.711
Cd Y Zr
1 1 2
Cartesian
3.489 0.964 1.179
10.466 2.891 3.537
11.641 3.215 0.114
7.205 1.990 2.249
```

(14)
Computed, not measured: crystalline YZrCd4 at its relaxed geometry at the GGA-PBE level of DFT.

```
YZrCd4
1.0
0.000 4.101 4.101
4.101 0.000 4.101
4.101 4.101 0.000
Y Zr Cd
1 1 4
Cartesian
6.151 6.151 6.151
0.000 0.000 0.000
3.073 5.129 5.129
5.129 5.129 3.073
5.129 3.073 5.129
3.073 3.073 3.073
```

(15)
Computed, not measured: crystalline Y2ZrCd at its relaxed geometry at the GGA-PBE level of DFT.

```
Y2ZrCd
1.0
5.907 0.009 0.000
2.286 5.447 0.000
-4.097 -2.728 3.267
Cd Y Zr
1 2 1
Cartesian
2.954 0.004 1.634
0.000 0.000 0.000
1.143 2.724 1.634
4.097 2.728 0.000
```

The following N(E_F) values (in states/eV/atom) correspond, in order, to the records above: 1.38; 1.07; 1.28; 1.07; 1.18; 1.13; 1.42; 0.77; 0.83; 1.18; 1.63; 1.23; 0.86; 0.93; 1.57.
The following formation energy from the elements values (in meV per atom) correspond, in order, to the records above: -31.4; 134.3; 29.1; -55.7; 22.6; -58.3; -153.4; -195.5; 360.3; -158.1; -7.5; 27.4; -32.8; -131.4; 7.1.
The following V values (in Å³/atom) correspond, in order, to the records above: 27.144; 23.979; 27.493; 24.371; 24.326; 26.919; 24.016; 23.188; 27.725; 23.948; 26.702; 24.387; 24.765; 22.986; 26.269.